Entry 1:
The following is a DFT calculation (PBE) of a relaxed Li2LaAgBr6 crystal.

DOS at the Fermi energy: 0.000 states/eV/atom
E_form (uncorrected): -1.44 eV/atom

Structure (extended XYZ):
```
10
Lattice="3.577 2.065 6.497 -3.577 2.065 6.497 0.000 -4.130 6.497" Properties=species:S:1:pos:R:3 pbc="T T T"
Li 0.000 0.000 0.000
Li 0.000 0.000 9.635
La 0.000 0.000 15.661
Ag 0.000 0.000 5.683
Br -0.958 -1.986 7.845
Br -2.316 -0.215 11.129
Br -1.241 1.823 7.845
Br 1.344 -1.898 11.129
Br 2.199 0.163 7.845
Br 0.972 2.113 11.129
```


Entry 2:
The following is a DFT calculation (PBE) of a relaxed LiLaAg2Br6 crystal.

DOS at the Fermi energy: 0.000 states/eV/atom
E_form (uncorrected): -1.20 eV/atom

Structure (extended XYZ):
```
10
Lattice="7.272 0.000 0.000 3.621 6.306 0.000 3.626 2.082 6.650" Properties=species:S:1:pos:R:3 pbc="T T T"
Li 0.000 0.000 0.000
La 7.257 4.189 3.640
Ag 3.625 2.102 2.075
Ag 10.893 6.281 4.068
Br 4.838 4.060 5.276
Br 5.834 6.173 1.896
Br 8.366 6.351 5.270
Br 6.265 1.989 1.871
Br 8.578 2.141 5.262
Br 9.678 4.450 1.889
```


Entry 3:
The following is a DFT calculation (PBE) of a relaxed La2AgBrN crystal.

DOS at the Fermi energy: 0.800 states/eV/atom
E_form (uncorrected): 0.74 eV/atom

Structure (extended XYZ):
```
5
Lattice="5.582 0.000 0.000 0.000 5.582 0.000 0.000 0.000 4.812" Properties=species:S:1:pos:R:3 pbc="T T T"
La 0.000 2.791 0.000
La 2.791 0.000 0.000
Ag 0.000 0.000 2.406
Br 0.000 0.000 0.000
N 2.791 2.791 2.406
```


Entry 4:
The following is a DFT calculation (PBE) of a relaxed LaAg2BrN crystal.

DOS at the Fermi energy: 0.000 states/eV/atom
E_form (uncorrected): 1.04 eV/atom

Structure (extended XYZ):
```
5
Lattice="6.122 0.000 0.000 0.000 6.122 0.000 0.000 0.000 5.802" Properties=species:S:1:pos:R:3 pbc="T T T"
La 0.000 0.000 0.000
Ag 0.000 3.061 0.000
Ag 3.061 0.000 0.000
Br 0.000 0.000 2.901
N 3.061 3.061 2.901
```


Entry 5:
The following is a DFT calculation (PBE) of a relaxed Na2LaAgBr6 crystal.

DOS at the Fermi energy: 0.000 states/eV/atom
E_form (uncorrected): -1.47 eV/atom

Structure (extended XYZ):
```
10
Lattice="7.474 0.000 0.000 -3.732 6.484 0.000 -3.724 -2.165 6.726" Properties=species:S:1:pos:R:3 pbc="T T T"
Na 0.000 0.000 0.000
Na -3.726 2.162 3.465
La 0.012 -0.001 6.203
Ag 0.003 4.324 2.668
Br -2.502 -0.233 4.707
Br -1.437 2.232 1.375
Br 2.650 0.138 1.376
Br -2.262 4.422 4.702
Br 1.067 2.295 4.709
Br 2.530 4.122 1.379
```


Entry 6:
The following is a DFT calculation (PBE) of a relaxed La8AgOs3Br4 crystal.

DOS at the Fermi energy: 0.375 states/eV/atom
E_form (uncorrected): -0.85 eV/atom

Structure (extended XYZ):
```
16
Lattice="4.244 2.451 7.914 -4.244 2.451 7.914 0.000 -4.901 7.914" Properties=species:S:1:pos:R:3 pbc="T T T"
La -2.271 -1.311 13.433
La 0.000 0.000 5.532
La 0.000 -2.622 10.309
La -2.271 1.311 10.309
La 2.271 -1.311 13.433
La 0.000 2.622 13.433
La 0.000 0.000 18.210
La 2.271 1.311 10.309
Ag 0.000 0.000 11.871
Os -4.244 0.000 11.871
Os -2.122 1.225 3.957
Os 2.122 1.225 3.957
Br 0.000 0.000 0.000
Br -2.122 -1.225 7.914
Br -2.122 1.225 15.828
Br 0.000 2.451 7.914
```


Entry 7:
The following is a DFT calculation (PBE) of a relaxed La4AgOsBr2 crystal.

DOS at the Fermi energy: 0.640 states/eV/atom
E_form (uncorrected): -0.82 eV/atom

Structure (extended XYZ):
```
8
Lattice="7.494 0.000 0.000 0.000 4.283 0.000 -2.462 0.000 7.907" Properties=species:S:1:pos:R:3 pbc="T T T"
La 1.131 0.000 1.584
La -0.207 2.142 6.281
La 5.239 2.142 1.626
La 3.901 0.000 6.323
Ag 3.747 0.000 0.000
Os 0.000 2.142 0.000
Br -1.231 0.000 3.954
Br 2.516 2.142 3.954
```


Entry 8:
The following is a DFT calculation (PBE) of a relaxed La6AgOs2Br3 crystal.

DOS at the Fermi energy: 0.372 states/eV/atom
E_form (uncorrected): -0.84 eV/atom

Structure (extended XYZ):
```
12
Lattice="9.999 -2.129 0.000 9.999 2.129 0.000 -3.204 0.000 8.823" Properties=species:S:1:pos:R:3 pbc="T T T"
La -0.357 0.000 2.190
La 4.962 0.000 3.928
La 3.913 0.000 7.681
La 12.881 0.000 1.142
La 11.833 0.000 4.895
La 17.152 0.000 6.633
Ag 9.999 0.000 0.000
Os 2.228 0.000 2.938
Os 14.566 0.000 5.886
Br 0.652 0.000 7.356
Br 8.397 0.000 4.412
Br 16.143 0.000 1.468
```


Entry 9:
The following is a DFT calculation (PBE) of a relaxed LaAgP2Br crystal.

DOS at the Fermi energy: 0.447 states/eV/atom
E_form (uncorrected): 0.36 eV/atom

Structure (extended XYZ):
```
5
Lattice="5.100 0.000 0.000 0.000 5.100 0.000 0.000 0.000 4.847" Properties=species:S:1:pos:R:3 pbc="T T T"
La 0.000 0.000 0.000
Ag 2.550 2.550 0.000
P 0.000 2.550 2.424
P 2.550 0.000 2.424
Br 2.550 2.550 2.424
```


Entry 10:
The following is a DFT calculation (PBE) of a relaxed La4AgPtBr2 crystal.

DOS at the Fermi energy: 1.206 states/eV/atom
E_form (uncorrected): -1.01 eV/atom

Structure (extended XYZ):
```
8
Lattice="7.530 0.000 0.000 0.000 4.340 0.000 -2.497 0.000 7.586" Properties=species:S:1:pos:R:3 pbc="T T T"
La 1.182 0.000 1.635
La -0.137 2.170 5.855
La 5.170 2.170 1.731
La 3.851 0.000 5.951
Ag 3.765 0.000 0.000
Pt 0.000 2.170 0.000
Br -1.249 0.000 3.793
Br 2.516 2.170 3.793
```


Entry 11:
The following is a DFT calculation (PBE) of a relaxed LaAg2PtBr crystal.

DOS at the Fermi energy: 1.833 states/eV/atom
E_form (uncorrected): 0.71 eV/atom

Structure (extended XYZ):
```
5
Lattice="5.984 0.000 0.000 0.000 5.984 0.000 0.000 0.000 5.166" Properties=species:S:1:pos:R:3 pbc="T T T"
La 0.000 0.000 0.000
Ag 0.000 2.992 0.000
Ag 2.992 0.000 0.000
Pt 0.000 0.000 2.583
Br 2.992 2.992 2.583
```


Entry 12:
The following is a DFT calculation (PBE) of a relaxed Rb3LaAg2Br9 crystal.

DOS at the Fermi energy: 0.470 states/eV/atom
E_form (uncorrected): -1.31 eV/atom

Structure (extended XYZ):
```
15
Lattice="7.951 0.000 0.000 -3.976 6.886 0.000 0.000 0.000 10.006" Properties=species:S:1:pos:R:3 pbc="T T T"
Rb 0.000 0.000 0.000
Rb 0.000 4.591 7.129
Rb 3.976 2.295 2.877
La 0.000 0.000 5.003
Ag 0.000 4.591 1.514
Ag 3.976 2.295 8.492
Br -1.988 3.443 0.000
Br 0.000 2.338 3.265
Br -1.951 5.717 3.265
Br 2.025 1.169 6.742
Br 3.976 0.000 0.000
Br 1.988 3.443 0.000
Br 1.951 5.717 3.265
Br 5.926 1.169 6.742
Br 3.976 4.548 6.742
```


Entry 13:
The following is a DFT calculation (PBE) of a relaxed Rb2LaAg2Br6 crystal.

DOS at the Fermi energy: 0.176 states/eV/atom
E_form (uncorrected): -1.27 eV/atom

Structure (extended XYZ):
```
11
Lattice="6.649 -4.262 0.000 6.649 4.262 0.000 -4.266 0.000 7.824" Properties=species:S:1:pos:R:3 pbc="T T T"
Rb 2.206 0.000 1.207
Rb 6.826 0.000 6.616
La -2.133 0.000 3.912
Ag 2.471 0.000 6.461
Ag 6.561 0.000 1.363
Br 4.838 2.273 1.725
Br 0.777 0.000 4.324
Br 4.193 2.273 6.099
Br 4.838 -2.273 1.725
Br 8.254 0.000 3.499
Br 4.193 -2.273 6.099
```


Entry 14:
The following is a DFT calculation (PBE) of a relaxed RbLaAg2Br6 crystal.

DOS at the Fermi energy: 0.000 states/eV/atom
E_form (uncorrected): -1.26 eV/atom

Structure (extended XYZ):
```
10
Lattice="7.853 0.000 0.000 3.922 6.806 0.000 3.922 2.243 6.979" Properties=species:S:1:pos:R:3 pbc="T T T"
Rb 0.000 0.000 0.000
La 7.849 4.529 3.357
Ag 3.931 2.256 0.583
Ag 11.767 6.797 5.223
Br 6.505 6.311 5.392
Br 5.311 4.312 1.955
Br 6.979 2.482 5.414
Br 8.943 6.837 1.972
Br 10.061 4.787 5.403
Br 9.309 2.441 1.957
```


Entry 15:
The following is a DFT calculation (PBE) of a relaxed RbLaAg2Br8 crystal.

DOS at the Fermi energy: 1.271 states/eV/atom
E_form (uncorrected): -0.98 eV/atom

Structure (extended XYZ):
```
12
Lattice="-3.648 3.648 7.878 3.648 -3.648 7.878 3.648 3.648 -7.878" Properties=species:S:1:pos:R:3 pbc="T T T"
Rb 0.000 0.000 0.000
La 3.648 0.000 3.939
Ag 0.000 0.000 7.878
Ag 0.000 3.648 3.939
Br 2.090 -0.940 6.466
Br 2.708 1.558 1.413
Br -1.222 1.551 2.981
Br 1.558 4.588 -1.413
Br 2.096 2.426 4.897
Br 0.940 2.090 9.291
Br 1.222 5.744 2.981
Br -2.096 4.870 4.897
```


Entry 16:
The following is a DFT calculation (PBE) of a relaxed RbLaAgBr6 crystal.

DOS at the Fermi energy: 0.899 states/eV/atom
E_form (uncorrected): -1.31 eV/atom

Structure (extended XYZ):
```
18
Lattice="7.443 0.000 0.000 -3.721 6.446 0.000 0.000 0.000 15.260" Properties=species:S:1:pos:R:3 pbc="T T T"
Rb 0.000 0.000 0.000
Rb 0.000 0.000 7.630
La 0.000 4.297 3.815
La 3.721 2.149 11.445
Ag 0.000 4.297 11.445
Ag 3.721 2.149 3.815
Br -1.314 2.477 9.760
Br -2.233 4.069 13.130
Br 1.314 2.477 13.130
Br -0.919 6.345 9.760
Br 2.803 0.101 2.130
Br 1.488 2.377 5.500
Br 2.233 4.069 9.760
Br 0.919 6.345 13.130
Br 4.640 0.101 5.500
Br 2.407 3.968 2.130
Br 5.954 2.377 2.130
Br 5.036 3.968 5.500
```


Entry 17:
The following is a DFT calculation (PBE) of a relaxed La8AgRh3Br4 crystal.

DOS at the Fermi energy: 0.643 states/eV/atom
E_form (uncorrected): -1.06 eV/atom

Structure (extended XYZ):
```
16
Lattice="4.250 2.453 7.920 -4.250 2.453 7.920 0.000 -4.907 7.920" Properties=species:S:1:pos:R:3 pbc="T T T"
La -2.233 -1.289 13.461
La 0.000 0.000 5.537
La 0.000 -2.579 10.297
La -2.233 1.289 10.297
La 2.233 -1.289 13.461
La 0.000 2.579 13.461
La 0.000 0.000 18.221
La 2.233 1.289 10.297
Ag 0.000 0.000 11.879
Rh -4.250 0.000 11.879
Rh -2.125 1.227 3.960
Rh 2.125 1.227 3.960
Br 0.000 0.000 0.000
Br -2.125 -1.227 7.920
Br -2.125 1.227 15.839
Br 0.000 2.453 7.919
```


Entry 18:
The following is a DFT calculation (PBE) of a relaxed La6AgRh2Br3 crystal.

DOS at the Fermi energy: 0.796 states/eV/atom
E_form (uncorrected): -1.02 eV/atom

Structure (extended XYZ):
```
12
Lattice="3.698 -6.410 0.000 3.698 6.410 0.000 -2.464 0.000 7.911" Properties=species:S:1:pos:R:3 pbc="T T T"
La -0.084 2.280 6.312
La 1.067 0.000 1.596
La -0.084 -2.280 6.312
La 5.016 2.280 1.599
La 3.865 0.000 6.314
La 5.016 -2.280 1.599
Ag 3.698 0.000 0.000
Rh 3.698 4.272 0.000
Rh 3.698 -4.272 0.000
Br -1.232 0.000 3.955
Br 2.466 2.125 3.955
Br 2.466 -2.125 3.955
```


Entry 19:
The following is a DFT calculation (PBE) of a relaxed La6AgRu2Br3 crystal.

DOS at the Fermi energy: 0.342 states/eV/atom
E_form (uncorrected): -0.92 eV/atom

Structure (extended XYZ):
```
12
Lattice="3.667 -6.353 0.000 3.667 6.353 0.000 -2.437 0.000 7.981" Properties=species:S:1:pos:R:3 pbc="T T T"
La -0.093 2.292 6.385
La 1.020 0.000 1.593
La -0.093 -2.292 6.385
La 4.991 2.292 1.596
La 3.878 0.000 6.387
La 4.991 -2.292 1.596
Ag 3.667 0.000 0.000
Ru 3.667 4.237 0.000
Ru 3.667 -4.237 0.000
Br -1.218 0.000 3.990
Br 2.449 2.120 3.990
Br 2.449 -2.120 3.990
```


Entry 20:
The following is a DFT calculation (PBE) of a relaxed La4AgRuBr2 crystal.

DOS at the Fermi energy: 0.654 states/eV/atom
E_form (uncorrected): -0.85 eV/atom

Structure (extended XYZ):
```
8
Lattice="7.490 0.000 0.000 0.000 4.253 0.000 -2.458 0.000 7.917" Properties=species:S:1:pos:R:3 pbc="T T T"
La 1.140 0.000 1.590
La -0.211 2.126 6.288
La 5.244 2.126 1.629
La 3.893 0.000 6.327
Ag 3.745 0.000 0.000
Ru 0.000 2.126 0.000
Br -1.229 0.000 3.958
Br 2.516 2.126 3.958
```